(1)
The following is a DFT calculation (PBE) of an optimized crystal structure of ZnSn2PdF.

a b c (Å): 5.257 5.257 3.873
angles (deg): 90.00 90.00 90.00
Positions (direct):
1 Zn 0.000 0.000 0.000
2 Sn 0.000 0.500 0.000
3 Sn 0.500 0.000 0.000
4 Pd 0.500 0.500 0.500
5 F 0.000 0.000 0.500

Values from the calculation:
E_form (uncorrected)   -0.25 eV/atom
Total magnetization   0.0 μB/f.u.

=====

(2)
The following is a DFT calculation (PBE) of an optimized crystal structure of ZrSnPd2F.

a b c (Å): 4.406 4.406 4.718
angles (deg): 90.00 90.00 90.00
Positions (direct):
1 Zr 0.000 0.000 0.000
2 Sn 0.500 0.500 0.000
3 Pd 0.000 0.500 0.500
4 Pd 0.500 0.000 0.500
5 F 0.500 0.500 0.500

Values from the calculation:
E_form (uncorrected)   -0.27 eV/atom
Total magnetization   0.0 μB/f.u.

=====

(3)
The following is a DFT calculation (PBE) of an optimized crystal structure of Sr12Pd3F5.

a b c (Å): 14.725 14.725 14.725
angles (deg): 109.47 109.47 109.47
Positions (direct):
1 Sr 0.028 0.214 0.125
2 Sr 0.028 0.314 0.903
3 Sr 0.089 0.714 0.686
4 Sr 0.089 0.875 0.403
5 Sr 0.097 0.625 0.411
6 Sr 0.097 0.972 0.686
7 Sr 0.125 0.028 0.214
8 Sr 0.125 0.597 0.911
9 Sr 0.186 0.214 0.589
10 Sr 0.186 0.472 0.597
11 Sr 0.214 0.125 0.028
12 Sr 0.214 0.589 0.186
13 Sr 0.286 0.314 0.911
14 Sr 0.286 0.472 0.375
15 Sr 0.314 0.903 0.028
16 Sr 0.314 0.911 0.286
17 Sr 0.375 0.286 0.472
18 Sr 0.375 0.589 0.903
19 Sr 0.403 0.089 0.875
20 Sr 0.403 0.814 0.528
21 Sr 0.411 0.097 0.625
22 Sr 0.411 0.814 0.786
23 Sr 0.472 0.375 0.286
24 Sr 0.472 0.597 0.186
25 Sr 0.528 0.403 0.814
26 Sr 0.528 0.625 0.714
27 Sr 0.589 0.186 0.214
28 Sr 0.589 0.903 0.375
29 Sr 0.597 0.186 0.472
30 Sr 0.597 0.911 0.125
31 Sr 0.625 0.411 0.097
32 Sr 0.625 0.714 0.528
33 Sr 0.686 0.089 0.714
34 Sr 0.686 0.097 0.972
35 Sr 0.714 0.528 0.625
36 Sr 0.714 0.686 0.089
37 Sr 0.786 0.411 0.814
38 Sr 0.786 0.875 0.972
39 Sr 0.814 0.528 0.403
40 Sr 0.814 0.786 0.411
41 Sr 0.875 0.403 0.089
42 Sr 0.875 0.972 0.786
43 Sr 0.903 0.028 0.314
44 Sr 0.903 0.375 0.589
45 Sr 0.911 0.125 0.597
46 Sr 0.911 0.286 0.314
47 Sr 0.972 0.686 0.097
48 Sr 0.972 0.786 0.875
49 Pd 0.125 0.250 0.375
50 Pd 0.125 0.375 0.750
51 Pd 0.250 0.375 0.125
52 Pd 0.250 0.875 0.625
53 Pd 0.375 0.125 0.250
54 Pd 0.375 0.750 0.125
55 Pd 0.625 0.250 0.875
56 Pd 0.625 0.875 0.750
57 Pd 0.750 0.125 0.375
58 Pd 0.750 0.625 0.875
59 Pd 0.875 0.625 0.250
60 Pd 0.875 0.750 0.625
61 F 0.000 0.000 0.000
62 F 0.000 0.000 0.500
63 F 0.000 0.500 0.000
64 F 0.000 0.500 0.500
65 F 0.125 0.750 0.875
66 F 0.125 0.875 0.250
67 F 0.250 0.125 0.875
68 F 0.250 0.625 0.375
69 F 0.375 0.250 0.625
70 F 0.375 0.625 0.750
71 F 0.500 0.000 0.000
72 F 0.500 0.000 0.500
73 F 0.500 0.500 0.000
74 F 0.500 0.500 0.500
75 F 0.625 0.375 0.250
76 F 0.625 0.750 0.375
77 F 0.750 0.375 0.625
78 F 0.750 0.875 0.125
79 F 0.875 0.125 0.750
80 F 0.875 0.250 0.125

Values from the calculation:
E_form (uncorrected)   -1.54 eV/atom
Total magnetization   0.0 μB/f.u.

=====

(4)
The following is a DFT calculation (PBE) of an optimized crystal structure of SrPd4F12.

a b c (Å): 7.146 7.146 7.146
angles (deg): 109.47 109.47 109.47
Positions (direct):
1 Sr 0.000 0.000 0.000
2 Pd 0.000 0.000 0.500
3 Pd 0.000 0.500 0.000
4 Pd 0.500 0.000 0.000
5 Pd 0.500 0.500 0.500
6 F 0.044 0.254 0.790
7 F 0.210 0.464 0.254
8 F 0.210 0.956 0.746
9 F 0.254 0.210 0.464
10 F 0.254 0.790 0.044
11 F 0.464 0.254 0.210
12 F 0.536 0.746 0.790
13 F 0.746 0.210 0.956
14 F 0.746 0.790 0.536
15 F 0.790 0.044 0.254
16 F 0.790 0.536 0.746
17 F 0.956 0.746 0.210

Values from the calculation:
E_form (uncorrected)   -1.69 eV/atom
Total magnetization   0.0 μB/f.u.

=====

(5)
The following is a DFT calculation (PBE) of an optimized crystal structure of SrPdF4.

a b c (Å): 6.836 6.836 6.836
angles (deg): 128.65 128.65 75.58
Positions (direct):
1 Sr 0.250 0.250 0.000
2 Sr 0.750 0.750 0.000
3 Pd 0.000 0.500 0.500
4 Pd 0.500 0.000 0.500
5 F 0.037 0.537 0.839
6 F 0.198 0.037 0.500
7 F 0.302 0.802 0.839
8 F 0.463 0.302 0.500
9 F 0.537 0.698 0.500
10 F 0.698 0.198 0.161
11 F 0.802 0.963 0.500
12 F 0.963 0.463 0.161

Values from the calculation:
Polymorph energy (0 for the lowest one)   0 meV per atom
E_form (uncorrected)   -2.58 eV/atom
Total magnetization   0.0 μB/f.u.

=====

(6)
The following is a DFT calculation (PBE) of an optimized crystal structure of SrPdF3.

a b c (Å): 4.426 4.426 4.426
angles (deg): 90.00 90.00 90.00
Positions (direct):
1 Sr 0.000 0.000 0.000
2 Pd 0.500 0.500 0.500
3 F 0.000 0.500 0.500
4 F 0.500 0.000 0.500
5 F 0.500 0.500 0.000

Values from the calculation:
E_form (uncorrected)   -2.05 eV/atom
Total magnetization   0.0 μB/f.u.

=====

| no. | total DFT energy (no corrections) (eV/atom) |
| --- | --- |
| 1 | -3.520 |
| 2 | -5.229 |
| 3 | -3.797 |
| 4 | -4.336 |
| 5 | -4.972 |
| 6 | -4.544 |